Entry 1:
Material: BeVAu
Method: DFT, PBE
State: relaxed

Lattice parameters (Å, degrees): 5.565 5.565 5.565 90.00 90.00 90.00
Space group F-43m (No. 216)
Inequivalent atoms, fractional coordinates:
1 Be 0.000 0.000 0.000 x4
2 V 0.250 0.250 0.750 x4
3 Au 0.250 0.250 0.250 x4

Computed properties:
* offset from the most stable computed form: 359.3 meV per atom

Entry 2:
Material: AcSm5Dy2Ho
Method: DFT, PBE
State: relaxed

Lattice parameters (Å, degrees): 9.208 9.208 14.946 90.00 90.00 90.00
Space group I4/mcm (No. 140)
Inequivalent atoms, fractional coordinates:
1 Ac 0.000 0.000 0.250 x4
2 Sm 0.000 0.000 0.000 x4
3 Sm 0.200 0.300 0.126 x16
4 Dy 0.112 0.388 0.500 x8
5 Ho 0.000 0.500 0.250 x4

Entry 3:
Material: Zn3TcIr
Method: DFT, PBE
State: relaxed

Lattice parameters (Å, degrees): 4.710 4.710 4.710 90.00 90.00 90.00
Space group Pm-3m (No. 221)
Inequivalent atoms, fractional coordinates:
1 Zn 0.000 0.000 0.500 x3
2 Tc 0.500 0.500 0.500 x1
3 Ir 0.000 0.000 0.000 x1

Computed properties:
* offset from the most stable computed form: 0.0 meV per atom

| no. | electronic total energy (eV for the cell shown) | density (g/cm3) | ΔH_f (0 K) (eV per atom) |
| --- | --- | --- | --- |
| 1 | -61.2 | 9.9 | 0.271 |
| 2 | -155.8 | 7.7 | 0.281 |
| 3 | -18.4 | 7.7 | 0.925 |